Record 1
A geometry-optimized ScTe4 structure, computed with PBE.

- offset from the most stable computed form (meV per atom) = 0
- DOS at the Fermi energy (states/eV/f.u.) = 4.0
- energy relative to the elements, uncorrected (eV per atom) = -0.3429

a b c (Å): 6.7883 6.7883 6.7883
angles (deg): 94.79 94.79 146.42
Sites, in units of the cell vectors:
Sc1 0.0000 0.0000 0.0000
Te1 0.2726 0.4093 0.6819
Te2 0.4093 0.7274 0.1367
Te3 0.5907 0.2726 0.8633
Te4 0.7274 0.5907 0.3181

Record 2
A geometry-optimized Tb2Tm3N4 structure, computed with PBE.

- DOS at the Fermi energy (states/eV/f.u.) = 2.7
- energy relative to the elements, uncorrected (eV per atom) = -1.5559

a b c (Å): 5.9779 5.9779 8.4950
angles (deg): 117.96 117.96 33.48
Sites, in units of the cell vectors:
Tb1 0.1043 0.1043 0.3890
Tb2 0.8957 0.8957 0.6110
Tm1 0.2938 0.2938 0.1872
Tm2 0.5000 0.5000 0.0000
Tm3 0.7062 0.7062 0.8128
N1 0.1035 0.1035 0.9047
N2 0.3009 0.3009 0.7028
N3 0.6991 0.6991 0.2972
N4 0.8965 0.8965 0.0953

Record 3
A geometry-optimized MgGe2O2 structure, computed with PBE.

- offset from the most stable computed form (meV per atom) = 0
- DOS at the Fermi energy (states/eV/f.u.) = 1.5
- energy relative to the elements, uncorrected (eV per atom) = -1.0170

a b c (Å): 5.7585 5.7585 4.1199
angles (deg): 90.00 90.00 90.00
Sites, in units of the cell vectors:
Mg1 0.0000 0.0000 0.0000
Mg2 0.5000 0.5000 0.0000
Ge1 0.1687 0.3313 0.5000
Ge2 0.3313 0.8313 0.5000
Ge3 0.6687 0.1687 0.5000
Ge4 0.8313 0.6687 0.5000
O1 0.2018 0.2982 0.0000
O2 0.2982 0.7982 0.0000
O3 0.7018 0.2018 0.0000
O4 0.7982 0.7018 0.0000

Record 4
A geometry-optimized Nd6Bi2Te3Pb structure, computed with PBE.

- DOS at the Fermi energy (states/eV/f.u.) = 4.8
- energy relative to the elements, uncorrected (eV per atom) = -1.1535

a b c (Å): 10.1871 10.1871 9.0981
angles (deg): 102.66 102.66 25.92
Sites, in units of the cell vectors:
Nd1 0.9998 0.9998 0.2440
Nd2 0.0002 0.0002 0.7560
Nd3 0.3332 0.3332 0.4181
Nd4 0.3362 0.3362 0.9176
Nd5 0.6638 0.6638 0.0824
Nd6 0.6668 0.6668 0.5819
Bi1 0.1668 0.1668 0.3335
Bi2 0.8332 0.8332 0.6665
Te1 0.1679 0.1679 0.8332
Te2 0.5000 0.5000 0.5000
Te3 0.8321 0.8321 0.1668
Pb1 0.5000 0.5000 0.0000

Record 5
A geometry-optimized Li2PmAlSe4 structure, computed with PBE.

- energy relative to the elements, uncorrected (eV per atom) = -1.2766

a b c (Å): 7.9340 7.9340 7.9340
angles (deg): 122.00 117.60 90.39
Sites, in units of the cell vectors:
Li1 0.0000 0.0000 0.0000
Li2 0.5000 0.0000 0.0000
Li3 0.5000 0.0000 0.5000
Li4 0.5000 0.5000 0.5000
Pm1 0.0000 0.5000 0.5000
Pm2 0.5000 0.5000 0.0000
Al1 0.0000 0.0000 0.5000
Al2 0.0000 0.5000 0.0000
Se1 0.2063 0.2403 0.9660
Se2 0.2257 0.7597 0.4660
Se3 0.2471 0.2332 0.4862
Se4 0.2471 0.7609 0.0138
Se5 0.7529 0.2391 0.9862
Se6 0.7529 0.7668 0.5138
Se7 0.7743 0.2403 0.5340
Se8 0.7937 0.7597 0.0340

Record 6
A geometry-optimized Th6Bi5Pb structure, computed with PBE.

- formation energy from the elements (meV per atom) = -515
- DOS at the Fermi energy (states/eV/f.u.) = 9.0

a b c (Å): 7.9578 7.9578 7.9691
angles (deg): 99.58 99.58 120.03
Sites, in units of the cell vectors:
Th1 0.0821 0.4120 0.7472
Th2 0.2460 0.2460 0.2503
Th3 0.4120 0.0821 0.7472
Th4 0.5880 0.9179 0.2528
Th5 0.7540 0.7540 0.7497
Th6 0.9179 0.5880 0.2528
Bi1 0.1687 0.8313 0.0000
Bi2 0.3340 0.6660 0.5000
Bi3 0.5000 0.5000 0.0000
Bi4 0.6660 0.3340 0.5000
Bi5 0.8313 0.1687 0.0000
Pb1 0.0000 0.0000 0.5000

Record 7
A geometry-optimized HfTa structure, computed with PBE.

- formation energy from the elements (meV per atom) = 185
- DOS at the Fermi energy (states/eV/f.u.) = 3.0

a b c (Å): 6.4776 6.4776 6.4776
angles (deg): 131.55 124.72 76.54
Sites, in units of the cell vectors:
Hf1 0.2500 0.2639 0.0139
Hf2 0.6284 0.2500 0.8784
Hf3 0.7500 0.2361 0.4861
Hf4 0.8716 0.7500 0.6216
Ta1 0.0102 0.7602 0.2500
Ta2 0.1382 0.2500 0.3882
Ta3 0.3618 0.7500 0.1118
Ta4 0.4898 0.7398 0.7500

Record 8
A geometry-optimized CaMn4Br structure, computed with PBE.

- DOS at the Fermi energy (states/eV/f.u.) = 7.2
- energy relative to the elements, uncorrected (eV per atom) = 0.5555

a b c (Å): 5.5416 5.5416 5.5416
angles (deg): 60.00 60.00 60.00
Sites, in units of the cell vectors:
Ca1 0.0000 0.0000 0.0000
Mn1 0.1143 0.6286 0.6286
Mn2 0.6286 0.1143 0.6286
Mn3 0.6286 0.6286 0.1143
Mn4 0.6286 0.6286 0.6286
Br1 0.2500 0.2500 0.2500

Record 9
A geometry-optimized ZrPaRu structure, computed with PBE.

- offset from the most stable computed form (meV per atom) = 0
- formation energy from the elements (meV per atom) = -298
- DOS at the Fermi energy (states/eV/f.u.) = 2.6

a b c (Å): 5.6411 5.6411 5.6411
angles (deg): 143.82 143.82 52.09
Sites, in units of the cell vectors:
Zr1 0.0000 0.0000 0.0000
Pa1 0.6957 0.6957 0.0000
Ru1 0.3159 0.3159 0.0000

Record 10
A geometry-optimized Sm4PbS3 structure, computed with PBE.

- DOS at the Fermi energy (states/eV/f.u.) = 3.1
- energy relative to the elements, uncorrected (eV per atom) = -1.5837

a b c (Å): 4.1048 5.8974 8.3943
angles (deg): 90.00 90.00 90.00
Sites, in units of the cell vectors:
Sm1 0.0000 0.0000 0.0000
Sm2 0.0000 0.0000 0.5000
Sm3 0.5000 0.5000 0.2287
Sm4 0.5000 0.5000 0.7713
Pb1 0.0000 0.5000 0.5000
S1 0.0000 0.5000 0.0000
S2 0.5000 0.0000 0.2441
S3 0.5000 0.0000 0.7559

Record 11
A geometry-optimized IrSe2Cl structure, computed with PBE.

- offset from the most stable computed form (meV per atom) = 230
- DOS at the Fermi energy (states/eV/f.u.) = 0.9
- energy relative to the elements, uncorrected (eV per atom) = -0.0274

a b c (Å): 4.9011 4.9011 7.1282
angles (deg): 111.53 111.53 41.67
Sites, in units of the cell vectors:
Ir1 0.0000 0.0000 0.0000
Se1 0.5211 0.5211 0.2510
Se2 0.7444 0.7444 0.0894
Cl1 0.3953 0.3953 0.7354

Record 12
A geometry-optimized SrInFe2 structure, computed with PBE.

- formation energy from the elements (meV per atom) = 656
- DOS at the Fermi energy (states/eV/f.u.) = 5.9

a b c (Å): 4.5973 4.5973 3.9859
angles (deg): 90.00 90.00 90.00
Sites, in units of the cell vectors:
Sr1 0.0000 0.0000 0.0000
In1 0.5000 0.5000 0.0000
Fe1 0.0000 0.5000 0.5000
Fe2 0.5000 0.0000 0.5000

VASP energy for the records above, in order: -4.123 -7.775 -5.166 -5.279 -4.559 -6.151 -10.718 -6.170 -9.405 -5.955 -4.447 -4.681 eV per atom
Size of the total moment for the records above, in order: 0.000 0.000 0.000 0.000 0.000 0.000 0.000 2.500 0.000 0.000 0.000 1.280 μB per atom
Theoretical density for the records above, in order: 5.6 10.0 4.9 7.7 4.7 10.7 14.7 4.7 11.3 7.4 6.1 6.2 g/cm³